(1)
First-principles (PBE) data for a geometry-optimized HgPbBr structure, as listed in Alexandria.

Structure (POSCAR):
```
HgPbBr
1.0
4.335 0.000 -0.019
0.000 4.499 0.000
-2.150 0.000 5.522
Br Hg Pb
1 1 1
Direct
0.308 0.000 0.303
0.565 0.500 0.816
0.048 0.000 0.781
```

Values from the calculation:
**Relative energy among the computed polymorphs**: 5 meV/atom
**Formation energy without anion corrections**: -0.3170 eV/atom
**Space-group type**: Amm2 (38)
**Calculated density**: 7.5 g/cm³

***

(2)
First-principles (PBE) data for a geometry-optimized HgPbBr structure, as listed in Alexandria.

Structure (POSCAR):
```
HgPbBr
1.0
6.911 0.000 0.000
0.000 7.879 0.000
0.000 0.000 7.192
Br Hg Pb
4 4 4
Direct
0.095 0.500 0.750
0.595 0.000 0.250
0.405 0.500 0.250
0.905 0.000 0.750
0.000 0.750 0.176
0.500 0.250 0.676
0.500 0.750 0.824
0.000 0.250 0.324
0.250 0.047 0.000
0.250 0.953 0.500
0.750 0.547 0.500
0.750 0.453 0.000
```

Values from the calculation:
**Relative energy among the computed polymorphs**: 9 meV/atom
**Formation energy without anion corrections**: -0.3121 eV/atom
**Space-group type**: I2_12_12_1 (24)
**Calculated density**: 8.3 g/cm³

***

(3)
First-principles (PBE) data for a geometry-optimized HgPbBr structure, as listed in Alexandria.

Structure (POSCAR):
```
HgPbBr
1.0
-5.506 -0.894 1.040
1.452 -4.071 4.307
2.574 5.568 2.868
Pb Hg Br
2 2 2
Direct
0.190 0.286 0.503
0.945 0.945 0.013
0.623 0.097 0.368
0.684 0.633 0.490
0.349 0.945 0.821
0.967 0.454 0.053
```

Values from the calculation:
**Relative energy among the computed polymorphs**: 0 meV/atom
**Formation energy without anion corrections**: -0.3216 eV/atom
**Space-group type**: P1 (1)
**Calculated density**: 7.7 g/cm³

***

(4)
First-principles (PBE) data for a geometry-optimized HgPbBr6 structure, as listed in Alexandria.

Structure (POSCAR):
```
HgPbBr6
1.0
7.069 0.006 0.057
3.524 6.049 0.045
3.566 2.017 6.348
Br Hg Pb
6 1 1
Direct
0.914 0.582 0.249
0.259 0.910 0.251
0.741 0.090 0.749
0.416 0.743 0.751
0.584 0.257 0.249
0.086 0.418 0.751
0.000 0.000 0.000
0.500 0.500 0.500
```

Values from the calculation:
**Formation energy without anion corrections**: -0.3408 eV/atom
**Space-group type**: P-1 (2)
**Calculated density**: 5.5 g/cm³

***

(5)
First-principles (PBE) data for a geometry-optimized HgPbBr structure, as listed in Alexandria.

Structure (POSCAR):
```
HgPbBr
1.0
-4.036 -5.267 -4.532
-1.245 -3.813 -6.528
0.611 -3.446 1.281
Hg Br Pb
1 1 1
Direct
0.335 0.335 0.665
0.006 0.006 0.994
0.659 0.659 0.341
```

Values from the calculation:
**Relative energy among the computed polymorphs**: 80 meV/atom
**Formation energy without anion corrections**: -0.2413 eV/atom
**Space-group type**: Fmm2 (42)
**Calculated density**: 8.7 g/cm³

***

(6)
First-principles (PBE) data for a geometry-optimized HgPbBr structure, as listed in Alexandria.

Structure (POSCAR):
```
HgPbBr
1.0
-0.684 -4.801 2.195
4.207 -2.746 1.759
0.746 -0.667 5.228
Hg Pb Br
1 1 1
Direct
0.500 0.500 0.500
0.250 0.250 0.250
0.000 0.000 0.000
```

Values from the calculation:
**Relative energy among the computed polymorphs**: 158 meV/atom
**Formation energy without anion corrections**: -0.1637 eV/atom
**Space-group type**: F-43m (216)
**Calculated density**: 7.6 g/cm³

***

(7)
First-principles (PBE) data for a geometry-optimized HgPb3Br structure, as listed in Alexandria.

Structure (POSCAR):
```
HgPb3Br
1.0
-2.004 3.676 3.991
-1.241 -4.452 3.478
5.282 0.349 2.331
Hg Pb Br
1 3 1
Direct
0.500 0.500 0.500
0.000 0.000 0.500
0.000 0.500 0.000
0.500 0.000 0.000
0.000 0.000 0.000
```

Values from the calculation:
**Relative energy among the computed polymorphs**: 133 meV/atom
**Formation energy without anion corrections**: 0.4340 eV/atom
**Space-group type**: Pm-3m (221)
**Calculated density**: 7.7 g/cm³

***

(8)
First-principles (PBE) data for a geometry-optimized HgPbBr structure, as listed in Alexandria.

Structure (POSCAR):
```
HgPbBr
1.0
-5.169 -0.208 -1.614
3.961 -1.457 -3.400
-0.232 -3.389 1.181
Pb Hg Br
1 1 1
Direct
0.333 0.667 0.757
0.667 0.333 0.372
0.000 0.000 0.872
```

Values from the calculation:
**Relative energy among the computed polymorphs**: 81 meV/atom
**Formation energy without anion corrections**: -0.2406 eV/atom
**Space-group type**: P3m1 (156)
**Calculated density**: 8.9 g/cm³

***

| no. | total DFT energy (no corrections) (eV per atom) |
| --- | --- |
| 1 | -2.2113 |
| 2 | -2.2064 |
| 3 | -2.2159 |
| 4 | -2.0967 |
| 5 | -2.1357 |
| 6 | -2.0581 |
| 7 | -2.1859 |
| 8 | -2.1349 |